# 1
4
Lattice="-1.4250 -0.4453 2.6325 1.5300 -2.8177 0.3516 4.5754 2.8537 2.9595" Properties=species:S:1:pos:R:3 comment="LiAlAu2 | Alexandria | SCAN | PBEsol geometry" rho_g_cm3=11.83 volume_a3_per_atom=15.0 e_form_ev_per_atom=-0.634 pbc="T T T"
Au 3.4388 2.1448 2.2244
Au 1.1366 0.7089 0.7352
Al 2.3402 -0.2047 2.9718
Li 0.0525 -1.6315 1.4920


# 2
5
Lattice="-1.8243 -4.3021 -1.3851 1.7494 0.7051 -4.4941 4.1673 -2.1793 1.2803" Properties=species:S:1:pos:R:3 comment="MgAl3Au | Alexandria | SCAN | PBEsol geometry" rho_g_cm3=4.33 volume_a3_per_atom=23.2 e_form_ev_per_atom=0.121 pbc="T T T"
Mg 2.0462 -2.8882 -2.2995
Au 0.0000 0.0000 0.0000
Al 0.8747 0.3526 -2.2471
Al 2.0837 -1.0897 0.6401
Al -0.9122 -2.1511 -0.6926


# 3
5
Lattice="4.7530 0.0000 0.0000 0.0000 4.7530 0.0000 0.0000 0.0000 4.7530" Properties=species:S:1:pos:R:3 comment="MgAlAu3 | Alexandria | SCAN | PBEsol geometry" rho_g_cm3=9.93 volume_a3_per_atom=21.5 e_form_ev_per_atom=-0.052 pbc="T T T"
Mg 2.3765 2.3765 2.3765
Au 0.0000 2.3765 0.0000
Au 0.0000 0.0000 2.3765
Au 2.3765 0.0000 0.0000
Al 0.0000 0.0000 0.0000


# 4
3
Lattice="4.3645 0.0000 0.0000 2.1823 3.7798 0.0000 2.1823 1.2599 3.5636" Properties=species:S:1:pos:R:3 comment="MgAlAu | Alexandria | SCAN | PBEsol geometry" rho_g_cm3=7.01 volume_a3_per_atom=19.6 e_form_ev_per_atom=-0.656 pbc="T T T"
Mg 0.0000 0.0000 0.0000
Au 2.1823 1.2599 0.8909
Al 4.3645 2.5198 1.7818


# 5
3
Lattice="-1.7081 -1.9562 1.8462 2.6895 0.8473 3.3861 -3.5702 2.4979 -0.6565" Properties=species:S:1:pos:R:3 comment="MgAlAu | Alexandria | SCAN | PBEsol geometry" rho_g_cm3=7.69 volume_a3_per_atom=17.9 e_form_ev_per_atom=-0.560 pbc="T T T"
Mg -0.2511 0.4194 2.9617
Au -1.4837 1.9477 0.6911
Al 0.0000 0.0000 0.0000


# 6
3
Lattice="-2.9387 -1.8426 0.4642 1.4066 -1.5346 2.8131 -0.7656 4.7442 0.7941" Properties=species:S:1:pos:R:3 comment="MgAlAu | Alexandria | SCAN | PBEsol geometry" rho_g_cm3=8.02 volume_a3_per_atom=17.1 e_form_ev_per_atom=-0.502 pbc="T T T"
Mg -1.2863 -0.6507 2.4650
Au -1.0360 2.0668 1.6455
Al -2.2730 1.3178 4.0322


# 7
4
Lattice="4.4183 -0.0260 0.0178 -2.1834 3.8842 0.0144 0.0000 2.4979 3.6429" Properties=species:S:1:pos:R:3 comment="MnAlAu2 | Alexandria | SCAN | PBEsol geometry" rho_g_cm3=12.73 volume_a3_per_atom=15.5 e_form_ev_per_atom=-0.571 pbc="T T T"
Mn 2.2091 1.2360 1.8303
Au 0.0121 2.5596 0.9227
Au 2.2228 3.7966 2.7524
Al 0.0000 0.0000 0.0000


# 8
4
Lattice="3.3087 0.0000 0.0000 0.0000 3.4216 0.0000 0.0000 0.0000 5.5694" Properties=species:S:1:pos:R:3 comment="MnAlAu2 | Alexandria | SCAN | PBEsol geometry" rho_g_cm3=12.53 volume_a3_per_atom=15.8 e_form_ev_per_atom=-0.465 pbc="T T T"
Mn 0.0000 0.0000 2.7275
Au 0.0000 0.0000 5.4273
Au 1.6544 1.7108 1.5337
Al 1.6544 1.7108 4.2352


# 9
5
Lattice="4.7827 0.0000 0.0000 0.0000 4.7827 0.0000 0.0000 0.0000 4.7827" Properties=species:S:1:pos:R:3 comment="MnAl3Au | Alexandria | SCAN | PBEsol geometry" rho_g_cm3=5.05 volume_a3_per_atom=21.9 e_form_ev_per_atom=0.270 pbc="T T T"
Mn 2.3913 2.3913 2.3913
Au 0.0000 0.0000 0.0000
Al 0.0000 2.3913 0.0000
Al 0.0000 0.0000 2.3913
Al 2.3913 0.0000 0.0000


# 10
4
Lattice="-3.0276 -0.6027 0.8591 1.2157 -0.0060 4.2800 0.3984 4.6478 -1.3113" Properties=species:S:1:pos:R:3 comment="MnAlAu2 | Alexandria | SCAN | PBEsol geometry" rho_g_cm3=12.53 volume_a3_per_atom=15.8 e_form_ev_per_atom=-0.502 pbc="T T T"
Mn -0.8723 -0.3031 2.6891
Au 0.0313 0.0579 0.1508
Au 0.3216 2.1257 2.6246
Al -1.8001 1.8543 0.9328


# 11
4
Lattice="3.9463 0.0000 0.0000 0.0000 3.9539 0.0000 -1.9731 -1.9770 3.9539" Properties=species:S:1:pos:R:3 comment="MnAlAu2 | Alexandria | SCAN | PBEsol geometry" rho_g_cm3=12.81 volume_a3_per_atom=15.4 e_form_ev_per_atom=-0.474 pbc="T T T"
Mn 0.0000 0.0000 3.9526
Au 0.0000 0.0000 0.0018
Au 0.0000 1.9770 1.9776
Al 1.9731 0.0000 1.9758


# 12
5
Lattice="-0.7069 3.5191 2.6054 -2.9209 1.5871 -2.9362 -3.5224 -2.3581 2.2294" Properties=species:S:1:pos:R:3 comment="Mn2AlAuSe | Alexandria | SCAN | PBEsol geometry" rho_g_cm3=7.28 volume_a3_per_atom=18.8 formation_energy_uncorrected_kj_per_mol_atoms=32.9 pbc="T T T"
Mn -1.4605 0.7936 -1.4681
Mn -0.3534 1.7596 1.3027
Au -3.5751 1.3740 0.9493
Al -1.7612 -1.1791 1.1147
Se 0.0000 0.0000 0.0000


Which formula does entry 6 have?
MgAlAu